1.
# PBE TbPuHg6, optimized geometry
data_TbPuHg6
_cell_length_a 5.090
_cell_length_b 6.691
_cell_length_c 11.585
_cell_angle_alpha 90.00
_cell_angle_beta 90.00
_cell_angle_gamma 90.00
_symmetry_space_group_name_H-M 'A m m 2'
_symmetry_Int_Tables_number 38
_symmetry_space_group_name_Hall 'A 2 -2'
loop_
_atom_site_label
_atom_site_type_symbol
_atom_site_fract_x
_atom_site_fract_y
_atom_site_fract_z
Tb1 Tb 0.000 0.000 0.000
Pu1 Pu 0.500 0.000 0.668
Hg1 Hg 0.000 0.000 0.501
Hg2 Hg 0.000 0.247 0.252
Hg3 Hg 0.500 0.000 0.167
Hg4 Hg 0.500 0.248 0.418
# **DOS(E_F)**: 2.16 states/eV/atom
# **DFT formation energy**: -0.239 eV/atom

=====

2.
# PBE ZrZnCr2, optimized geometry
data_ZrZnCr2
_cell_length_a 3.004
_cell_length_b 3.004
_cell_length_c 6.823
_cell_angle_alpha 90.00
_cell_angle_beta 90.00
_cell_angle_gamma 90.00
_symmetry_space_group_name_H-M 'P 4 m m'
_symmetry_Int_Tables_number 99
_symmetry_space_group_name_Hall 'P 4 -2'
loop_
_atom_site_label
_atom_site_type_symbol
_atom_site_fract_x
_atom_site_fract_y
_atom_site_fract_z
Zr1 Zr 0.000 0.000 0.000
Zn1 Zn 0.500 0.500 0.691
Cr1 Cr 0.000 0.000 0.456
Cr2 Cr 0.500 0.500 0.282
# **DOS(E_F)**: 0.82 states/eV/atom
# **DFT formation energy**: 0.038 eV/atom